Record 1
Density functional theory data (PBE) for a relaxed GdTmIr crystal.

The calculation puts the energy above the most stable polymorph in this dataset at 0 kJ/mol of formula units. The total magnetization comes out at 29.39 μB per cell. The density comes out at 11.0 g cm⁻³. Its total energy is -9.8353 eV per atom. As for the formation energy: -202 kJ/mol of formula units.

The structure belongs to space group F-43m (No. 216); the cell edges are 6.7816, 6.7816 and 6.7816 Å and the angles 90.00°, 90.00° and 90.00°. Symmetry generates all atoms from Gd at (0.0000, 0.0000, 0.0000), Tm at (0.0000, 0.0000, 0.5000) and Ir at (0.2500, 0.2500, 0.7500).



Record 2
Density functional theory data (PBE) for a relaxed Pm4Y8Tm crystal.

The total magnetization comes out at 0.00 μB per cell. The density comes out at 5.6 g cm⁻³. Its total energy is -5.5770 eV per atom. As for the formation energy: 259 kJ/mol of formula units.

The structure belongs to space group R-3m (No. 166, hexagonal axes); the cell edges are 7.3817, 7.3817 and 27.5641 Å and the angles 90.00°, 90.00° and 120.00°. Symmetry generates all atoms from Pm at (0.0000, 0.0000, 0.0000), Pm at (0.0000, 0.5000, 0.0000), Y at (0.0000, 0.0000, 0.2151), Y at (0.0342, 0.5171, 0.7681) and Tm at (0.0000, 0.0000, 0.5000).



Record 3
Density functional theory data (PBE) for a relaxed RePtSe2 crystal.

The calculation puts the energy above the most stable polymorph in this dataset at 116 kJ/mol of formula units. The total magnetization comes out at 0.00 μB per cell. The density comes out at 13.5 g cm⁻³. Its total energy is -5.9749 eV per atom.

The structure belongs to space group P4/mmm (No. 123); the cell edges are 3.0573, 3.0573 and 7.0946 Å and the angles 90.00°, 90.00° and 90.00°. Symmetry generates all atoms from Re at (0.0000, 0.0000, 0.0000), Pt at (0.0000, 0.0000, 0.5000) and Se at (0.5000, 0.5000, 0.2248).